1.
Computed, not measured: crystalline YMg2InNi at its relaxed geometry at the GGA-PBE level of DFT.

Structure (CIF):
```
data_YMg2InNi
_symmetry_space_group_name_H-M 'P 4/m m m'
_symmetry_Int_Tables_number 123
_symmetry_space_group_name_Hall '-P 4 2'
_cell_length_a 4.800
_cell_length_b 4.800
_cell_length_c 4.905
_cell_angle_alpha 90.00
_cell_angle_beta 90.00
_cell_angle_gamma 90.00
loop_
_atom_site_label
_atom_site_type_symbol
_atom_site_fract_x
_atom_site_fract_y
_atom_site_fract_z
_atom_site_occupancy
Y1 Y 0.000 0.000 0.000 1
Mg1 Mg 0.000 0.500 0.500 1
In1 In 0.500 0.500 0.000 1
Ni1 Ni 0.500 0.500 0.500 1
```

Computed properties:
DOS at the Fermi energy = 3.1 states/eV per cell
Energy of formation from the pure elements = -0.67 eV/f.u.
Energy relative to the lowest polymorph listed for this composition = 0 meV/atom

***

2.
Computed, not measured: crystalline Nd2YEr9 at its relaxed geometry at the GGA-PBE level of DFT.

Structure (CIF):
```
data_Nd2YEr9
_symmetry_space_group_name_H-M 'P 6/m m m'
_symmetry_Int_Tables_number 191
_symmetry_space_group_name_Hall '-P 6 2'
_cell_length_a 11.2012
_cell_length_b 11.2012
_cell_length_c 3.4921
_cell_angle_alpha 90.00
_cell_angle_beta 90.00
_cell_angle_gamma 120.00
loop_
_atom_site_label
_atom_site_type_symbol
_atom_site_fract_x
_atom_site_fract_y
_atom_site_fract_z
_atom_site_occupancy
Nd1 Nd 0.3333 0.6667 0.0000 1
Y1 Y 0.0000 0.0000 0.0000 1
Er1 Er 0.0000 0.5000 0.0000 1
Er2 Er 0.1744 0.3488 0.5000 1
```

Computed properties:
DOS at the Fermi energy = 20.8 states/eV per cell
Energy of formation from the pure elements = 0.84 eV/f.u.
Energy relative to the lowest polymorph listed for this composition = 44 meV/atom

***

3.
Computed, not measured: crystalline AlSbPPt2 at its relaxed geometry at the GGA-PBE level of DFT.

Structure (CIF):
```
data_AlSbPPt2
_symmetry_space_group_name_H-M 'P 4/m m m'
_symmetry_Int_Tables_number 123
_symmetry_space_group_name_Hall '-P 4 2'
_cell_length_a 4.730
_cell_length_b 4.730
_cell_length_c 4.534
_cell_angle_alpha 90.00
_cell_angle_beta 90.00
_cell_angle_gamma 90.00
loop_
_atom_site_label
_atom_site_type_symbol
_atom_site_fract_x
_atom_site_fract_y
_atom_site_fract_z
_atom_site_occupancy
Al1 Al 0.000 0.000 0.000 1
Sb1 Sb 0.500 0.500 0.500 1
P1 P 0.000 0.000 0.500 1
Pt1 Pt 0.000 0.500 0.000 1
```

Computed properties:
DOS at the Fermi energy = 3.6 states/eV per cell
E_form (uncorrected) = 1.95 eV/f.u.
Energy relative to the lowest polymorph listed for this composition = 229 meV/atom

***

4.
Computed, not measured: crystalline TaBRu3 at its relaxed geometry at the GGA-PBE level of DFT.

Structure (CIF):
```
data_TaBRu3
_symmetry_space_group_name_H-M 'P 1'
_symmetry_Int_Tables_number 1
_cell_length_a 4.685
_cell_length_b 5.043
_cell_length_c 6.467
_cell_angle_alpha 97.01
_cell_angle_beta 103.71
_cell_angle_gamma 112.87
loop_
_symmetry_equiv_pos_as_xyz
'x,y,z'
loop_
_atom_site_label
_atom_site_type_symbol
_atom_site_fract_x
_atom_site_fract_y
_atom_site_fract_z
_atom_site_occupancy
Ta1 Ta 0.000 0.000 0.000 1
Ta2 Ta 0.234 0.101 0.489 1
B1 B 0.105 0.557 0.485 1
B2 B 0.710 0.737 0.232 1
Ru1 Ru 0.174 0.596 0.165 1
Ru2 Ru 0.364 0.840 0.816 1
Ru3 Ru 0.515 0.415 0.928 1
Ru4 Ru 0.661 0.167 0.260 1
Ru5 Ru 0.678 0.681 0.549 1
Ru6 Ru 0.894 0.303 0.718 1
```

Computed properties:
DOS at the Fermi energy = 8.1 states/eV per cell
Energy of formation from the pure elements = -1.09 eV/f.u.